Entry 1:
Density functional theory data (PBE) for a relaxed structure of DyTm2Sc3CuTe2.

Unit cell a=3.939 b=7.974 c=7.974 alpha=119.98 beta=90.00 gamma=90.00
Fractional coordinates of all 9 atoms:
Cu 0.000 0.997 0.997
Dy 0.000 0.396 0.396
Sc 0.500 0.999 0.238
Sc 0.500 0.762 0.762
Sc 0.500 0.238 0.999
Te 0.500 0.668 0.333
Te 0.500 0.333 0.668
Tm 0.000 0.607 0.000
Tm 0.000 0.000 0.607

Calculated values
The value obtained for the calculated total energy is -0.1975 hartree per atom.


Entry 2:
Density functional theory data (PBE) for a relaxed structure of Ho2ErAl5.

Unit cell a=4.833 b=6.319 c=6.319 alpha=62.87 beta=90.00 gamma=90.00
Fractional coordinates of all 8 atoms:
Al 0.000 0.698 0.129
Al 0.500 0.848 0.308
Al 0.000 0.129 0.698
Al 0.500 0.308 0.848
Al 0.500 0.852 0.852
Er 0.000 0.162 0.162
Ho 0.500 0.351 0.351
Ho 0.000 0.652 0.652

Calculated values
The value obtained for the calculated total energy is -0.1598 hartree per atom.


Entry 3:
Density functional theory data (PBE) for a relaxed structure of BaAgGe.

Unit cell a=6.280 b=6.280 c=6.280 alpha=133.84 beta=101.38 gamma=96.32
Fractional coordinates of all 6 atoms:
Ag 0.108 0.902 0.206
Ag 0.696 0.902 0.794
Ba 0.279 0.279 0.000
Ba 0.695 0.195 0.500
Ge 0.890 0.566 0.324
Ge 0.241 0.566 0.676

Calculated values
The value obtained for the calculated total energy is -0.1303 hartree per atom.


Entry 4:
Density functional theory data (PBE) for a relaxed structure of CuTc2.

Unit cell a=4.028 b=4.028 c=4.028 alpha=60.00 beta=60.00 gamma=60.00
Fractional coordinates of all 3 atoms:
Cu 0.000 0.000 0.000
Tc 0.250 0.250 0.250
Tc 0.750 0.750 0.750

Calculated values
The value obtained for the calculated total energy is -0.2622 hartree per atom. The energy of formation is 98 kJ per mole of atoms. The value obtained for the polymorph energy (0 for the lowest one) is 1.14 eV/f.u.


Entry 5:
Density functional theory data (PBE) for a relaxed structure of HgPbO3.

Unit cell a=4.166 b=4.166 c=4.515 alpha=90.00 beta=90.00 gamma=90.00
Fractional coordinates of all 5 atoms:
Hg 0.000 0.000 0.935
O 0.500 0.500 0.082
O 0.500 0.000 0.672
O 0.000 0.500 0.672
Pb 0.500 0.500 0.540

Calculated values
The value obtained for the calculated total energy is -0.1506 hartree per atom.


Entry 6:
Density functional theory data (PBE) for a relaxed structure of NdRePO.

Unit cell a=3.970 b=3.970 c=8.656 alpha=90.00 beta=90.00 gamma=90.00
Fractional coordinates of all 8 atoms:
Nd 0.000 0.500 0.140
Nd 0.500 0.000 0.860
O 0.000 0.000 0.000
O 0.500 0.500 0.000
P 0.500 0.000 0.341
P 0.000 0.500 0.659
Re 0.000 0.000 0.500
Re 0.500 0.500 0.500

Calculated values
The value obtained for the calculated total energy is -0.3161 hartree per atom. The value obtained for the polymorph energy (0 for the lowest one) is 0.00 eV/f.u.